(1)
A plane-wave DFT calculation with PBE-GGA was carried out for an optimized crystal structure of Ga2FeTc.

Lattice parameters (Å, degrees): 4.1155 4.1155 3.2363 90.00 90.00 90.00
Positions (direct):
Ga: 0.0000 0.5000 0.0000
Ga: 0.5000 0.0000 0.0000
Fe: 0.0000 0.0000 0.5000
Tc: 0.5000 0.5000 0.5000

Properties
**Symmetry**: P4/mmm
**ΔH_f (0 K)**: -0.068 eV/atom

(2)
A plane-wave DFT calculation with PBE-GGA was carried out for an optimized crystal structure of LiCaInPb.

Lattice parameters (Å, degrees): 7.4682 7.4682 7.4682 90.00 90.00 90.00
Positions (direct):
Li: 0.0000 0.0000 0.0000
Li: 0.0000 0.5000 0.5000
Li: 0.5000 0.0000 0.5000
Li: 0.5000 0.5000 0.0000
Ca: 0.0000 0.0000 0.5000
Ca: 0.0000 0.5000 0.0000
Ca: 0.5000 0.0000 0.0000
Ca: 0.5000 0.5000 0.5000
In: 0.2500 0.2500 0.7500
In: 0.2500 0.7500 0.2500
In: 0.7500 0.2500 0.2500
In: 0.7500 0.7500 0.7500
Pb: 0.2500 0.2500 0.2500
Pb: 0.2500 0.7500 0.7500
Pb: 0.7500 0.2500 0.7500
Pb: 0.7500 0.7500 0.2500

Properties
**Symmetry**: F-43m
**ΔH_f (0 K)**: -0.363 eV/atom

(3)
A plane-wave DFT calculation with PBE-GGA was carried out for an optimized crystal structure of YTl2F2.

Lattice parameters (Å, degrees): 6.2040 6.2040 6.7322 90.00 90.00 90.00
Positions (direct):
Y: 0.0000 0.0000 0.0000
Y: 0.5000 0.5000 0.0000
Tl: 0.1968 0.3032 0.5000
Tl: 0.3032 0.8032 0.5000
Tl: 0.6968 0.1968 0.5000
Tl: 0.8032 0.6968 0.5000
F: 0.2462 0.7462 0.0000
F: 0.2538 0.2462 0.0000
F: 0.7462 0.7538 0.0000
F: 0.7538 0.2538 0.0000

Properties
**Symmetry**: P4/mbm
**Energy relative to the elements, uncorrected**: -2.011 eV per atom

(4)
A plane-wave DFT calculation with PBE-GGA was carried out for an optimized crystal structure of CuIrPt.

Lattice parameters (Å, degrees): 2.7320 2.7320 11.3970 90.00 90.00 90.00
Positions (direct):
Cu: 0.0000 0.0000 0.0000
Cu: 0.5000 0.5000 0.5000
Ir: 0.0000 0.0000 0.6612
Ir: 0.5000 0.5000 0.1612
Pt: 0.0000 0.0000 0.3336
Pt: 0.5000 0.5000 0.8336

Properties
**Symmetry**: I4mm
**ΔH_f (0 K)**: 0.071 eV/atom

(5)
A plane-wave DFT calculation with PBE-GGA was carried out for an optimized crystal structure of TbDy3Er2Te6.

Lattice parameters (Å, degrees): 9.7107 9.7107 8.7288 103.00 103.00 25.73
Positions (direct):
Tb: 0.0000 0.0000 0.0000
Dy: 0.0000 0.0000 0.5000
Dy: 0.3357 0.3357 0.1671
Dy: 0.6643 0.6643 0.8329
Er: 0.3349 0.3349 0.6693
Er: 0.6651 0.6651 0.3307
Te: 0.1682 0.1682 0.0858
Te: 0.1681 0.1681 0.5814
Te: 0.4988 0.4988 0.7481
Te: 0.5012 0.5012 0.2519
Te: 0.8319 0.8319 0.4186
Te: 0.8318 0.8318 0.9142

Properties
**Symmetry**: C2/m
**Energy relative to the elements, uncorrected**: -1.261 eV per atom

(6)
A plane-wave DFT calculation with PBE-GGA was carried out for an optimized crystal structure of ScCd2.

Lattice parameters (Å, degrees): 3.3530 15.3661 5.1145 90.00 90.00 90.00
Positions (direct):
Sc: 0.0000 0.1045 0.2500
Sc: 0.0000 0.8955 0.7500
Sc: 0.5000 0.3955 0.7500
Sc: 0.5000 0.6045 0.2500
Cd: 0.0000 0.2260 0.7500
Cd: 0.0000 0.4396 0.2500
Cd: 0.0000 0.5604 0.7500
Cd: 0.0000 0.7740 0.2500
Cd: 0.5000 0.0604 0.7500
Cd: 0.5000 0.2740 0.2500
Cd: 0.5000 0.7260 0.7500
Cd: 0.5000 0.9396 0.2500

Properties
**Symmetry**: Cmcm
**ΔH_f (0 K)**: -0.191 eV/atom

(7)
A plane-wave DFT calculation with PBE-GGA was carried out for an optimized crystal structure of Si2Pd2C.

Lattice parameters (Å, degrees): 3.8640 3.8640 10.3242 90.00 90.00 90.00
Positions (direct):
Si: 0.0000 0.0000 0.1078
Si: 0.0000 0.0000 0.8922
Si: 0.5000 0.5000 0.3922
Si: 0.5000 0.5000 0.6078
Pd: 0.0000 0.5000 0.2500
Pd: 0.0000 0.5000 0.7500
Pd: 0.5000 0.0000 0.2500
Pd: 0.5000 0.0000 0.7500
C: 0.0000 0.0000 0.5000
C: 0.5000 0.5000 0.0000

Properties
**Symmetry**: I4/mmm
**Energy relative to the elements, uncorrected**: 0.859 eV per atom

(8)
A plane-wave DFT calculation with PBE-GGA was carried out for an optimized crystal structure of ErMg3Sc6.

Lattice parameters (Å, degrees): 6.1141 6.1141 7.9868 90.00 90.00 120.00
Positions (direct):
Er: 0.0000 0.0000 0.0000
Mg: 0.0000 0.0000 0.5000
Mg: 0.3333 0.6667 0.5000
Mg: 0.6667 0.3333 0.5000
Sc: 0.0000 0.4338 0.8120
Sc: 0.0000 0.5662 0.1880
Sc: 0.4338 0.0000 0.8120
Sc: 0.4338 0.4338 0.1880
Sc: 0.5662 0.0000 0.1880
Sc: 0.5662 0.5662 0.8120

Properties
**Symmetry**: P-31m
**ΔH_f (0 K)**: 0.209 eV/atom